Record 1
VASP calculation (GGA-PBEsol) on a relaxed LiBeAs crystal.

Cell: 3.7353 3.7353 3.9499 Å, 90.00 90.00 120.00°
Closest atoms and distances in Å follow each position.
Fractional coordinates of all 3 atoms:
Be 0.3333 0.6667 0.0000  3 As 2.16
As 0.0000 0.0000 0.0000  3 Be 2.16
Li 0.6667 0.3333 0.5000  6 Be 2.92, 6 As 2.92

- DOS(E_F) (states/eV/atom) = 0.155
- calculated formation energy (eV per atom) = -0.37

---

Record 2
VASP calculation (GGA-PBEsol) on a relaxed LiBeAs2 crystal.

Cell: 3.6834 3.6860 5.5125 Å, 109.40 109.52 90.00°
Closest atoms and distances in Å follow each position.
Fractional coordinates of all 4 atoms:
Be 0.5625 0.4400 0.1251  4 As 2.22
As 0.9357 0.3082 0.8713  2 Be 2.22, 1 As 2.40
As 0.6892 0.0655 0.3784  2 Be 2.22, 1 As 2.40
Li 0.3126 0.6863 0.6253  8 As 2.86-2.87, 4 Be 3.04-3.06

- DOS(E_F) (states/eV/atom) = 0.196
- ΔE to the lowest computed polymorph (meV per atom) = 0
- calculated formation energy (eV per atom) = -0.21

---

Record 3
VASP calculation (GGA-PBEsol) on a relaxed LiBe2As crystal.

Cell: 2.6431 4.2360 4.3940 Å, 90.00 98.62 90.00°
Closest atoms and distances in Å follow each position.
Fractional coordinates of all 4 atoms:
Be 0.8651 0.0000 0.7269  2 Be 2.22-2.40, 2 As 2.43, 2 Li 2.47
Be 0.1349 0.0000 0.2731  2 Be 2.22-2.40, 2 As 2.43, 2 Li 2.47
As 0.0000 0.5000 0.0000  2 Li 2.39, 4 Be 2.43, 2 As 2.64
Li 0.5000 0.5000 0.5000  2 As 2.39, 4 Be 2.47, 2 Li 2.64

- DOS(E_F) (states/eV/atom) = 0.285
- ΔE to the lowest computed polymorph (meV per atom) = 76
- calculated formation energy (eV per atom) = 0.12

---

Record 4
VASP calculation (GGA-PBEsol) on a relaxed LiBe2As crystal.

Cell: 3.5221 3.5221 4.4410 Å, 113.36 113.36 90.00°
Closest atoms and distances in Å follow each position.
Fractional coordinates of all 4 atoms:
Be 0.0000 0.0000 0.0000  4 Li 2.49, 4 As 2.55, 4 Be 2.55
Be 0.2500 0.7500 0.5000  4 As 2.49, 4 Li 2.55, 4 Be 2.55
As 0.7500 0.2500 0.5000  8 Be 2.49-2.55, 4 Li 2.55
Li 0.5000 0.5000 0.0000  8 Be 2.49-2.55, 4 As 2.55

- DOS(E_F) (states/eV/atom) = 0.172
- ΔE to the lowest computed polymorph (meV per atom) = 62
- calculated formation energy (eV per atom) = 0.10